Record 1
VASP calculation (PBE-GGA) on a relaxed MnFe2Tc crystal.

Cell: 4.976 8.343 2.539 Å, 90.00 109.29 90.00°
Space group C2/m (No. 12)
One atom of each set of equivalent atoms:
Mn  0.000  0.000  0.000
Fe  0.250  0.250  0.500
Tc  0.000  0.500  0.000

## Properties
The total DFT energy (no corrections) is -71.99 eV/cell. As for the formation enthalpy at 0 K: 0.12 eV per atom. For the energy above the most stable polymorph in this dataset, the calculation gives 0.23 eV/f.u.

=====

Record 2
VASP calculation (PBE-GGA) on a relaxed MnFe2Tc crystal.

Cell: 8.453 2.556 4.529 Å, 90.00 99.32 90.00°
Space group Cm (No. 8)
One atom of each set of equivalent atoms:
Mn  0.000  0.000  0.000
Fe  0.242  0.500  0.224
Fe  0.492  0.000  0.471
Tc  0.247  0.000  0.723

## Properties
The total DFT energy (no corrections) is -72.07 eV/cell. As for the formation enthalpy at 0 K: 0.11 eV per atom. For the energy above the most stable polymorph in this dataset, the calculation gives 0.19 eV/f.u.

=====

Record 3
VASP calculation (PBE-GGA) on a relaxed MnFeTc2 crystal.

Cell: 8.742 2.649 4.567 Å, 90.00 100.06 90.00°
Space group Cm (No. 8)
One atom of each set of equivalent atoms:
Mn  0.000  0.000  0.000
Fe  0.258  0.000  0.765
Tc  0.010  0.500  0.520
Tc  0.250  0.500  0.251

## Properties
The total DFT energy (no corrections) is -75.91 eV/cell. As for the formation enthalpy at 0 K: 0.10 eV per atom. For the energy above the most stable polymorph in this dataset, the calculation gives 0.21 eV/f.u.

=====

Record 4
VASP calculation (PBE-GGA) on a relaxed MnFeTc2 crystal.

Cell: 2.997 4.186 8.467 Å, 90.00 90.00 90.00°
Space group Imm2 (No. 44)
One atom of each set of equivalent atoms:
Mn  0.000  0.000  0.000
Fe  0.000  0.500  0.261
Tc  0.000  0.000  0.510
Tc  0.000  0.500  0.753

## Properties
The total DFT energy (no corrections) is -75.99 eV/cell. As for the formation enthalpy at 0 K: 0.09 eV per atom. For the energy above the most stable polymorph in this dataset, the calculation gives 0.16 eV/f.u.